A geometry-optimized HoSc4Rh2 structure. Source: Alexandria via LeMat-Bulk, functional PBE-GGA.

Structure (POSCAR):
```
HoSc4Rh2
1.0
7.413 0.000 0.000
0.000 5.879 0.000
-2.920 0.000 6.994
Ho Sc Rh
2 8 4
Direct
0.017 0.250 0.159
0.983 0.750 0.841
0.241 0.501 0.590
0.241 0.999 0.590
0.344 0.750 0.255
0.390 0.250 0.014
0.610 0.750 0.986
0.656 0.250 0.745
0.759 0.001 0.410
0.759 0.499 0.410
0.011 0.250 0.737
0.420 0.250 0.373
0.580 0.750 0.627
0.989 0.750 0.263
```

Energy of formation = -0.5420 eV/atom
Total energy = -96.80 eV for the cell shown
Crystal system = monoclinic

---

A geometry-optimized Th2NiGe3 structure. Source: Alexandria via LeMat-Bulk, functional PBE-GGA.

Structure (POSCAR):
```
Th2NiGe3
1.0
4.181 0.000 0.000
0.000 4.254 0.000
0.000 0.000 7.192
Th Ni Ge
2 1 3
Direct
0.000 0.000 0.000
0.000 0.500 0.490
0.500 0.000 0.317
0.500 0.000 0.639
0.500 0.500 0.176
0.500 0.500 0.827
```

Energy of formation = -0.7146 eV/atom
Total energy = -38.76 eV for the cell shown
Crystal system = orthorhombic
Relative energy among the computed polymorphs = 19 meV/atom

---

A geometry-optimized Rb8Au2IO structure. Source: Alexandria via LeMat-Bulk, functional PBE-GGA.

Structure (POSCAR):
```
Rb8Au2IO
1.0
7.990 0.000 0.000
0.000 10.130 0.000
-0.370 0.000 8.041
Rb Au I O
8 2 1 1
Direct
0.188 0.192 0.174
0.188 0.808 0.174
0.248 0.000 0.737
0.299 0.500 0.670
0.701 0.500 0.330
0.752 0.000 0.263
0.812 0.192 0.826
0.812 0.808 0.826
0.500 0.230 0.500
0.500 0.770 0.500
0.000 0.500 0.000
0.000 0.000 0.000
```

Total energy = -27.36 eV for the cell shown
Crystal system = monoclinic
E_form (uncorrected) = -53 kJ per mole of atoms

---

A geometry-optimized Cs3UBi2Te6 structure. Source: Alexandria via LeMat-Bulk, functional PBE-GGA.

Structure (POSCAR):
```
Cs3UBi2Te6
1.0
4.067 -7.041 0.000
4.067 7.041 0.000
-2.708 0.000 8.870
Cs U Bi Te
3 1 2 6
Direct
0.000 0.000 0.000
0.332 0.668 0.000
0.668 0.332 0.000
0.500 0.500 0.500
0.166 0.834 0.500
0.834 0.166 0.500
0.106 0.436 0.309
0.233 0.233 0.692
0.436 0.106 0.309
0.564 0.894 0.691
0.767 0.767 0.308
0.894 0.564 0.691
```

Total energy = -48.72 eV for the cell shown
Crystal system = monoclinic
E_form (uncorrected) = -66 kJ per mole of atoms

---

A geometry-optimized Ti3MnPd6 structure. Source: Alexandria via LeMat-Bulk, functional PBE-GGA.

Structure (POSCAR):
```
Ti3MnPd6
1.0
4.403 -7.511 0.000
4.403 7.511 0.000
0.000 0.000 4.768
Ti Mn Pd
6 2 12
Direct
0.102 0.898 0.500
0.233 0.438 0.141
0.438 0.233 0.641
0.562 0.767 0.141
0.767 0.562 0.641
0.898 0.102 0.000
0.284 0.716 0.449
0.716 0.284 0.949
0.045 0.456 0.753
0.119 0.208 0.547
0.203 0.797 0.934
0.208 0.119 0.047
0.447 0.553 0.657
0.456 0.045 0.253
0.544 0.955 0.753
0.553 0.447 0.157
0.792 0.881 0.547
0.797 0.203 0.434
0.881 0.792 0.047
0.955 0.544 0.253
```

Energy of formation = -0.3461 eV/atom
Total energy = -134.94 eV for the cell shown
Crystal system = orthorhombic

---

A geometry-optimized BiPt structure. Source: Alexandria via LeMat-Bulk, functional PBE-GGA.

Structure (POSCAR):
```
BiPt
1.0
-5.009 5.009 2.034
5.009 -5.009 2.034
5.009 5.009 -2.034
Bi Pt
4 4
Direct
0.119 0.791 0.910
0.209 0.119 0.328
0.791 0.881 0.672
0.881 0.209 0.090
0.108 0.406 0.514
0.406 0.892 0.298
0.594 0.108 0.702
0.892 0.594 0.486
```

Energy of formation = -0.1719 eV/atom
Total energy = -41.06 eV for the cell shown
Crystal system = tetragonal

---

A geometry-optimized Co3BiW structure. Source: Alexandria via LeMat-Bulk, functional PBE-GGA.

Structure (POSCAR):
```
Co3BiW
1.0
4.520 0.000 0.000
0.000 4.520 0.000
0.000 0.000 4.520
Co Bi W
3 1 1
Direct
0.000 0.000 0.500
0.000 0.500 0.000
0.500 0.000 0.000
0.500 0.500 0.500
0.000 0.000 0.000
```

Energy of formation = 1.2421 eV/atom
Total energy = -31.94 eV for the cell shown
Crystal system = cubic
Relative energy among the computed polymorphs = 0 meV/atom

---

A geometry-optimized Cs2SnBr5F structure. Source: Alexandria via LeMat-Bulk, functional PBE-GGA.

Structure (POSCAR):
```
Cs2SnBr5F
1.0
-3.909 3.909 5.578
3.909 -3.909 5.578
3.909 3.909 -5.578
Cs Sn Br F
2 1 5 1
Direct
0.000 0.500 0.500
0.500 0.000 0.500
0.251 0.251 0.000
0.007 0.007 0.520
0.007 0.487 0.000
0.487 0.007 0.000
0.487 0.487 0.480
0.488 0.488 0.000
0.070 0.070 0.000
```

Total energy = -29.29 eV for the cell shown
Crystal system = tetragonal
E_form (uncorrected) = -143 kJ per mole of atoms

---

A geometry-optimized CoRe2Rh structure. Source: Alexandria via LeMat-Bulk, functional PBE-GGA.

Structure (POSCAR):
```
CoRe2Rh
1.0
2.695 0.000 0.000
0.000 2.695 0.000
0.000 0.000 7.576
Co Re Rh
1 2 1
Direct
0.000 0.000 0.000
0.000 0.000 0.500
0.500 0.500 0.216
0.500 0.500 0.744
```

Energy of formation = 0.0180 eV/atom
Total energy = -39.28 eV for the cell shown
Crystal system = tetragonal
Relative energy among the computed polymorphs = 109 meV/atom

---

A geometry-optimized MnIn3Se structure. Source: Alexandria via LeMat-Bulk, functional PBE-GGA.

Structure (POSCAR):
```
MnIn3Se
1.0
5.158 0.000 0.000
0.000 5.158 0.000
0.000 0.000 5.158
Mn In Se
1 3 1
Direct
0.000 0.000 0.000
0.000 0.000 0.500
0.000 0.500 0.000
0.500 0.000 0.000
0.500 0.500 0.500
```

Total energy = -19.54 eV for the cell shown
Crystal system = cubic
E_form (uncorrected) = 26 kJ per mole of atoms
Relative energy among the computed polymorphs = 0 meV/atom

---

A geometry-optimized Ac3Lu structure. Source: Alexandria via LeMat-Bulk, functional PBE-GGA.

Structure (POSCAR):
```
Ac3Lu
1.0
-1.971 6.243 3.336
1.971 -6.243 3.336
1.971 6.243 -3.336
Ac Lu
3 1
Direct
0.000 0.000 0.000
0.411 0.652 0.759
0.893 0.652 0.241
0.496 0.996 0.500
```

Energy of formation = 0.0766 eV/atom
Total energy = -16.54 eV for the cell shown
Crystal system = orthorhombic

---

A geometry-optimized LiCa2GaP structure. Source: Alexandria via LeMat-Bulk, functional PBE-GGA.

Structure (POSCAR):
```
LiCa2GaP
1.0
5.539 0.000 0.000
0.000 5.539 0.000
0.000 0.000 4.100
Li Ca Ga P
1 2 1 1
Direct
0.000 0.000 0.000
0.000 0.500 0.000
0.500 0.000 0.000
0.500 0.500 0.500
0.000 0.000 0.500
```

Energy of formation = -0.1106 eV/atom
Total energy = -14.91 eV for the cell shown
Crystal system = tetragonal

---

Table of DOS at the Fermi energy (states/eV per cell), in record order: 16.70, 2.46, 5.95, 4.82, 17.48, 3.66, 5.53, 0.00, 3.26, 3.76, 6.33, 4.20
Table of spin magnetization (Bohr magnetons per cell), in record order: 0.001, 0.000, 0.000, 2.996, 6.016, 0.000, 0.001, 0.000, 0.000, 3.687, 0.000, 0.000
Table of V (Å³ per cell), in record order: 305, 128, 651, 508, 315, 204, 92, 341, 55, 137, 164, 126